Ac2NpPRh6 after structural relaxation, computed with PBE.

The space group is P-3m1 (No. 164) and the conventional cell measures 6.2378, 6.2378 and 5.9731 Å, with angles of 90.00, 90.00 and 120.00 degrees. The inequivalent atoms are Ac at (0.3333, 0.6667, 0.3011), Np at (0.0000, 0.0000, 0.5000), P at (0.0000, 0.0000, 0.0000) and Rh at (0.1851, 0.3702, 0.8030).

The total magnetization comes out at 1.90 Bohr magnetons per cell. Its raw total energy is -77.0 eV per cell.